Entry 1:
Crystalline Tm2TlF7 at its relaxed geometry. Source: the Alexandria database, functional PBE-GGA.

```
Tm2TlF7
1.0
3.478 -5.652 0.000
3.478 5.652 0.000
0.000 0.000 4.310
Tm Tl F
2 1 7
direct
0.192 0.808 0.000 Tm
0.808 0.192 0.000 Tm
0.500 0.500 0.500 Tl
0.000 0.000 0.000 F
0.164 0.458 0.000 F
0.201 0.799 0.500 F
0.458 0.164 0.000 F
0.542 0.836 0.000 F
0.799 0.201 0.500 F
0.836 0.542 0.000 F
```

Properties
Crystal system: orthorhombic
Formation energy without anion corrections: -37.33 eV/f.u.



Entry 2:
Crystalline TmMg2Zn2 at its relaxed geometry. Source: the Alexandria database, functional PBE-GGA.

```
TmMg2Zn2
1.0
4.743 0.000 0.000
0.000 4.684 0.000
-2.351 0.000 9.034
Tm Mg Zn
2 4 4
direct
0.158 0.250 0.318 Tm
0.842 0.750 0.682 Tm
0.345 0.250 0.692 Mg
0.454 0.750 0.909 Mg
0.546 0.250 0.091 Mg
0.655 0.750 0.308 Mg
0.043 0.750 0.089 Zn
0.255 0.750 0.506 Zn
0.745 0.250 0.494 Zn
0.957 0.250 0.911 Zn
```

Properties
Formation energy: -0.19 eV per atom
Energy above the most stable polymorph in this dataset: 0 meV per atom
Crystal system: monoclinic



Entry 3:
Crystalline Rb2Ge2Te5 at its relaxed geometry. Source: the Alexandria database, functional PBE-GGA.

```
Rb2Ge2Te5
1.0
6.913 0.000 0.000
-0.027 8.571 0.000
-2.163 -2.850 12.300
Rb Ge Te
4 4 10
direct
0.000 0.000 0.000 Rb
0.127 0.121 0.441 Rb
0.470 0.453 0.005 Rb
0.622 0.617 0.441 Rb
0.052 0.846 0.686 Ge
0.054 0.579 0.291 Ge
0.559 0.061 0.294 Ge
0.569 0.075 0.698 Ge
0.149 0.629 0.510 Te
0.209 0.154 0.737 Te
0.292 0.793 0.216 Te
0.299 0.304 0.231 Te
0.307 0.710 0.810 Te
0.657 0.158 0.514 Te
0.684 0.788 0.738 Te
0.792 0.797 0.215 Te
0.798 0.294 0.230 Te
0.815 0.300 0.817 Te
```

Properties
Energy above the most stable polymorph in this dataset: 0 meV per atom
Crystal system: triclinic
Formation energy without anion corrections: -3.44 eV/f.u.



Entry 4:
Crystalline Tl at its relaxed geometry. Source: the Alexandria database, functional PBE-GGA.

```
Tl
1.0
0.000 3.538 3.538
3.538 0.000 3.538
3.538 3.538 0.000
Tl
2
direct
0.125 0.125 0.125 Tl
0.875 0.875 0.875 Tl
```

Properties
Formation energy: 0.38 eV per atom
Energy above the most stable polymorph in this dataset: 381 meV per atom
Crystal system: cubic



Entry 5:
Crystalline MnCo2Tc at its relaxed geometry. Source: the Alexandria database, functional PBE-GGA.

```
MnCo2Tc
1.0
4.192 -1.274 0.000
4.192 1.274 0.000
-0.743 0.000 4.396
Mn Co Tc
1 2 1
direct
0.000 0.000 0.000 Mn
0.255 0.255 0.778 Co
0.507 0.507 0.527 Co
0.756 0.756 0.284 Tc
```

Properties
Formation energy: 0.10 eV per atom
Energy above the most stable polymorph in this dataset: 86 meV per atom
Crystal system: monoclinic



Entry 6:
Crystalline Pm2NdSn3 at its relaxed geometry. Source: the Alexandria database, functional PBE-GGA.

```
Pm2NdSn3
1.0
4.696 -7.290 0.000
4.696 7.290 0.000
-2.595 0.000 5.278
Pm Nd Sn
4 2 6
direct
0.084 0.916 0.750 Pm
0.251 0.749 0.250 Pm
0.749 0.251 0.750 Pm
0.916 0.084 0.250 Pm
0.417 0.583 0.750 Nd
0.583 0.417 0.250 Nd
0.000 0.500 0.500 Sn
0.164 0.332 0.000 Sn
0.332 0.164 0.500 Sn
0.500 0.000 0.000 Sn
0.668 0.836 0.500 Sn
0.836 0.668 0.000 Sn
```

Properties
Formation energy: -0.64 eV per atom
Crystal system: monoclinic